(1)
Material: LiInFe
Method: DFT, meta-GGA SCAN
State: single point on PBEsol structure

Calculated values
Space-group type: P3m1
Formation enthalpy at 0 K in meV/atom: 269

Cell: 2.8949 2.8949 6.8737 Å, 90.00 90.00 120.00°
Last column: nearest neighbours and their distance in Å.
Fractional coordinates of all 3 atoms:
Fe1 0.0000 0.0000 0.0039  3 Li 2.73, 3 In 2.79, 6 Fe 2.89
Li1 0.6667 0.3333 0.3170  3 Fe 2.73, 6 Li 2.89, 3 In 3.00
In1 0.3333 0.6667 0.6791  3 Fe 2.79, 6 In 2.89, 3 Li 3.00

=====

(2)
Material: Ba2P2O7
Method: DFT, meta-GGA SCAN
State: single point on PBEsol structure

Calculated values
Space-group type: Pnma
Uncorrected formation energy in meV/atom: -3059

Cell: 5.5988 9.2995 13.8508 Å, 90.00 90.00 90.00°
Last column: nearest neighbours and their distance in Å.
Fractional coordinates of all 44 atoms:
O1 0.2500 0.8840 0.0778  2 P 1.61-1.62
O2 0.2500 0.2262 0.5678  1 P 1.53
O3 0.2500 0.6155 0.3308  1 P 1.52
O4 0.4763 0.4038 0.2620  1 P 1.53
O5 0.5237 0.0962 0.7620  1 P 1.53
O6 0.7500 0.1160 0.9222  2 P 1.61-1.62
O7 0.0237 0.4038 0.2620  1 P 1.53
O8 0.2500 0.1155 0.1692  1 P 1.52
O9 0.0245 0.6438 0.0810  1 P 1.54
O10 0.4763 0.9038 0.2380  1 P 1.53
O11 0.9763 0.5962 0.7380  1 P 1.53
O12 0.4755 0.1438 0.4190  1 P 1.54
O13 0.0237 0.9038 0.2380  1 P 1.53
O14 0.5245 0.8562 0.5810  1 P 1.54
O15 0.4755 0.6438 0.0810  1 P 1.54
O16 0.7500 0.3845 0.6692  1 P 1.52
O17 0.7500 0.7738 0.4322  1 P 1.53
O18 0.7500 0.6160 0.5778  2 P 1.61-1.62
O19 0.2500 0.3840 0.4222  2 P 1.61-1.62
O20 0.9755 0.8562 0.5810  1 P 1.54
O21 0.7500 0.2738 0.0678  1 P 1.53
O22 0.9755 0.3562 0.9190  1 P 1.54
O23 0.9763 0.0962 0.7620  1 P 1.53
O24 0.7500 0.8845 0.8308  1 P 1.52
O25 0.2500 0.7262 0.9322  1 P 1.53
O26 0.5245 0.3562 0.9190  1 P 1.54
O27 0.0245 0.1438 0.4190  1 P 1.54
O28 0.5237 0.5962 0.7380  1 P 1.53
P1 0.2500 0.9535 0.1853  4 O 1.52-1.62
P2 0.7500 0.7815 0.5426  4 O 1.53-1.61
P3 0.7500 0.0465 0.8147  4 O 1.52-1.62
P4 0.2500 0.2185 0.4574  4 O 1.53-1.61
P5 0.2500 0.4535 0.3147  4 O 1.52-1.62
P6 0.7500 0.5465 0.6853  4 O 1.52-1.62
P7 0.2500 0.7185 0.0426  4 O 1.53-1.61
P8 0.7500 0.2815 0.9574  4 O 1.53-1.61
Ba1 0.2500 0.8409 0.7450  9 O 2.75-3.07
Ba2 0.7500 0.1373 0.5825  7 O 2.59-2.90
Ba3 0.2500 0.8627 0.4175  7 O 2.59-2.90
Ba4 0.7500 0.6373 0.9175  7 O 2.59-2.90
Ba5 0.2500 0.3409 0.7550  9 O 2.75-3.07
Ba6 0.7500 0.1591 0.2550  9 O 2.75-3.07
Ba7 0.7500 0.6591 0.2450  9 O 2.75-3.07
Ba8 0.2500 0.3627 0.0825  7 O 2.59-2.90

=====

(3)
Material: Zr2TlPt2
Method: DFT, meta-GGA SCAN
State: single point on PBEsol structure

Calculated values
Space-group type: I4/mmm
Formation enthalpy at 0 K in meV/atom: -792

Cell: 4.6252 4.6252 6.0713 Å, 112.39 112.39 90.00°
Last column: nearest neighbours and their distance in Å.
Fractional coordinates of all 5 atoms:
Tl1 0.0000 0.0000 0.0000  8 Zr 3.45, 10 Pt 3.51-3.85
Pt1 0.6238 0.6238 0.2475  1 Pt 2.53, 4 Zr 2.65
Pt2 0.3762 0.3762 0.7525  1 Pt 2.53, 4 Zr 2.65
Zr1 0.7500 0.2500 0.5000  4 Pt 2.65
Zr2 0.2500 0.7500 0.5000  4 Pt 2.65

=====

(4)
Material: CaLaTiFeO6
Method: DFT, meta-GGA SCAN
State: single point on PBEsol structure

Calculated values
Space-group type: Pc
Uncorrected formation energy in meV/atom: -3090

Cell: 5.3639 5.3622 7.5756 Å, 90.00 90.07 90.00°
Last column: nearest neighbours and their distance in Å.
Fractional coordinates of all 20 atoms:
O1 0.7212 0.4785 0.5275  1 Fe 1.89, 1 Ti 1.94
O2 0.2212 0.5215 0.0275  1 Fe 1.89, 1 Ti 1.94
O3 0.7847 0.9718 0.9671  1 Fe 1.90, 1 Ti 1.95
O4 0.2778 0.0332 0.0333  1 Fe 1.90, 1 Ti 1.95
O5 0.4367 0.7558 0.7467  1 Fe 1.90, 1 Ti 1.94
O6 0.0530 0.2594 0.7533  1 Fe 1.89, 1 Ti 1.94
O7 0.9367 0.2442 0.2467  1 Fe 1.90, 1 Ti 1.94
O8 0.2847 0.0282 0.4671  1 Fe 1.90, 1 Ti 1.95
O9 0.5530 0.7406 0.2533  1 Fe 1.89, 1 Ti 1.94
O10 0.7287 0.4709 0.9722  1 Fe 1.89, 1 Ti 1.94
O11 0.2287 0.5291 0.4722  1 Fe 1.89, 1 Ti 1.94
O12 0.7778 0.9668 0.5333  1 Fe 1.90, 1 Ti 1.95
La1 0.0032 0.7703 0.2494  8 O 2.42-2.68
La2 0.5032 0.2297 0.7494  8 O 2.42-2.68
Ti1 0.0001 0.2504 0.4994  6 O 1.94-1.95
Ti2 0.5001 0.7496 0.9994  6 O 1.94-1.95
Ca1 0.4943 0.2805 0.2509  8 O 2.38-2.66
Ca2 0.9943 0.7195 0.7509  8 O 2.38-2.66
Fe1 0.0003 0.2487 0.0003  6 O 1.89-1.90
Fe2 0.5003 0.7513 0.5003  6 O 1.89-1.90

=====

(5)
Material: MgPH7O7
Method: DFT, meta-GGA SCAN
State: single point on PBEsol structure

Calculated values
Space-group type: Pbca
Final energy in eV per atom: -6.878

Cell: 9.8764 10.2794 10.4202 Å, 90.00 90.00 90.00°
Last column: nearest neighbours and their distance in Å.
Fractional coordinates of all 128 atoms:
H1 0.0358 0.5717 0.2166  1 O 1.00
H2 0.1368 0.8207 0.3978  1 O 1.00
H3 0.6818 0.2072 0.5008  1 O 1.01
H4 0.0233 0.6571 0.0027  1 O 0.99
H5 0.9642 0.4283 0.7834  1 O 1.00
H6 0.2616 0.6639 0.4326  1 O 1.01
H7 0.6818 0.2928 0.0008  1 O 1.01
H8 0.6368 0.8207 0.1022  1 O 1.00
H9 0.8632 0.1793 0.6022  1 O 1.00
H10 0.0973 0.5031 0.4185  1 O 1.05
H11 0.4642 0.4283 0.7166  1 O 1.00
H12 0.3632 0.1793 0.8978  1 O 1.00
H13 0.9642 0.0717 0.2834  1 O 1.00
H14 0.7616 0.8361 0.5674  1 O 1.01
H15 0.7616 0.6639 0.0674  1 O 1.01
H16 0.5233 0.6571 0.4973  1 O 0.99
H17 0.4767 0.1571 0.0027  1 O 0.99
H18 0.3435 0.1631 0.1721  1 O 1.01
H19 0.5973 0.5031 0.0815  1 O 1.05
H20 0.7384 0.1639 0.0674  1 O 1.01
H21 0.9767 0.1571 0.4973  1 O 0.99
H22 0.4027 0.4969 0.9185  1 O 1.05
H23 0.4767 0.3429 0.5027  1 O 0.99
H24 0.1565 0.8369 0.6721  1 O 1.01
H25 0.0358 0.9283 0.7166  1 O 1.00
H26 0.1818 0.2928 0.4992  1 O 1.01
H27 0.2616 0.8361 0.9326  1 O 1.01
H28 0.8182 0.7072 0.5008  1 O 1.01
H29 0.0973 0.9969 0.9185  1 O 1.05
H30 0.4027 0.0031 0.4185  1 O 1.05
H31 0.5233 0.8429 0.9973  1 O 0.99
H32 0.6368 0.6793 0.6022  1 O 1.00
H33 0.5358 0.5717 0.2834  1 O 1.00
H34 0.9027 0.0031 0.0815  1 O 1.05
H35 0.5973 0.9969 0.5815  1 O 1.05
H36 0.1565 0.6631 0.1721  1 O 1.01
H37 0.7384 0.3361 0.5674  1 O 1.01
H38 0.6565 0.8369 0.8279  1 O 1.01
H39 0.8182 0.7928 0.0008  1 O 1.01
H40 0.8435 0.3369 0.8279  1 O 1.01
H41 0.6565 0.6631 0.3279  1 O 1.01
H42 0.2384 0.1639 0.4326  1 O 1.01
H43 0.3632 0.3207 0.3978  1 O 1.00
H44 0.1368 0.6793 0.8978  1 O 1.00
H45 0.0233 0.8429 0.5027  1 O 0.99
H46 0.2384 0.3361 0.9326  1 O 1.01
H47 0.3435 0.3369 0.6721  1 O 1.01
H48 0.5358 0.9283 0.7834  1 O 1.00
H49 0.8632 0.3207 0.1022  1 O 1.00
H50 0.3182 0.7072 0.9992  1 O 1.01
H51 0.4642 0.0717 0.2166  1 O 1.00
H52 0.8435 0.1631 0.3279  1 O 1.01
H53 0.1818 0.2072 0.9992  1 O 1.01
H54 0.9027 0.4969 0.5815  1 O 1.05
H55 0.9767 0.3429 0.9973  1 O 0.99
H56 0.3182 0.7928 0.4992  1 O 1.01
Mg1 0.0840 0.2070 0.7458  6 O 2.00-2.13
Mg2 0.4160 0.7930 0.2458  6 O 2.00-2.13
Mg3 0.5840 0.2070 0.7542  6 O 2.00-2.13
Mg4 0.5840 0.2930 0.2542  6 O 2.00-2.13
Mg5 0.0840 0.2930 0.2458  6 O 2.00-2.13
Mg6 0.4160 0.7070 0.7458  6 O 2.00-2.13
Mg7 0.9160 0.7930 0.2542  6 O 2.00-2.13
Mg8 0.9160 0.7070 0.7542  6 O 2.00-2.13
O1 0.9900 0.4531 0.3350  1 H 1.46, 1 P 1.56
O2 0.1750 0.5373 0.4780  1 H 1.05
O3 0.5546 0.8417 0.8234  2 H 1.00-1.01
O4 0.0380 0.8384 0.4085  2 H 0.99-1.00
O5 0.8250 0.0373 0.0220  1 H 1.05
O6 0.3250 0.0373 0.4780  1 H 1.05
O7 0.3229 0.6380 0.1479  1 P 1.55, 2 H 1.68-1.70
O8 0.2374 0.4087 0.1943  1 P 1.50
O9 0.7996 0.7473 0.5870  2 H 1.01
O10 0.2626 0.5913 0.6943  1 P 1.50
O11 0.3229 0.8620 0.6479  1 P 1.55, 2 H 1.68-1.70
O12 0.2374 0.0913 0.6943  1 P 1.50
O13 0.7373 0.4087 0.3057  1 P 1.50
O14 0.5100 0.9531 0.3350  1 H 1.46, 1 P 1.56
O15 0.0100 0.9531 0.1650  1 H 1.46, 1 P 1.56
O16 0.1771 0.1380 0.1479  1 P 1.55, 2 H 1.68-1.70
O17 0.7627 0.5913 0.8057  1 P 1.50
O18 0.9620 0.1616 0.5915  2 H 0.99-1.00
O19 0.0380 0.6616 0.9085  2 H 0.99-1.00
O20 0.4620 0.1616 0.9085  2 H 0.99-1.00
O21 0.5546 0.6583 0.3234  2 H 1.00-1.01
O22 0.5380 0.8384 0.0915  2 H 0.99-1.00
O23 0.0546 0.8417 0.6766  2 H 1.00-1.01
O24 0.7004 0.2527 0.0870  2 H 1.01
O25 0.4454 0.1583 0.1766  2 H 1.00-1.01
O26 0.5100 0.5469 0.8350  1 H 1.46, 1 P 1.56
O27 0.0100 0.5469 0.6650  1 H 1.46, 1 P 1.56
O28 0.4900 0.0469 0.6650  1 H 1.46, 1 P 1.56
O29 0.4620 0.3384 0.4085  2 H 0.99-1.00
O30 0.8250 0.4627 0.5220  1 H 1.05
O31 0.7627 0.9087 0.3057  1 P 1.50
O32 0.8229 0.8620 0.8521  1 P 1.55, 2 H 1.68-1.70
O33 0.9454 0.1583 0.3234  2 H 1.00-1.01
O34 0.1771 0.3620 0.6479  1 P 1.55, 2 H 1.68-1.70
O35 0.2996 0.7473 0.9130  2 H 1.01
O36 0.7373 0.0913 0.8057  1 P 1.50
O37 0.9900 0.0469 0.8350  1 H 1.46, 1 P 1.56
O38 0.2004 0.2473 0.9130  2 H 1.01
O39 0.6771 0.3620 0.8521  1 P 1.55, 2 H 1.68-1.70
O40 0.2626 0.9087 0.1943  1 P 1.50
O41 0.9454 0.3417 0.8234  2 H 1.00-1.01
O42 0.6750 0.9627 0.5220  1 H 1.05
O43 0.3250 0.4627 0.9780  1 H 1.05
O44 0.2996 0.7527 0.4130  2 H 1.01
O45 0.2004 0.2527 0.4130  2 H 1.01
O46 0.6750 0.5373 0.0220  1 H 1.05
O47 0.8229 0.6380 0.3521  1 P 1.55, 2 H 1.68-1.70
O48 0.7996 0.7527 0.0870  2 H 1.01
O49 0.7004 0.2473 0.5870  2 H 1.01
O50 0.0546 0.6583 0.1766  2 H 1.00-1.01
O51 0.4454 0.3417 0.6766  2 H 1.00-1.01
O52 0.1750 0.9627 0.9780  1 H 1.05
O53 0.5380 0.6616 0.5915  2 H 0.99-1.00
O54 0.4900 0.4531 0.1650  1 H 1.46, 1 P 1.56
O55 0.6771 0.1380 0.3521  1 P 1.55, 2 H 1.68-1.70
O56 0.9620 0.3384 0.0915  2 H 0.99-1.00
P1 0.8422 0.4896 0.3723  4 O 1.50-1.59
P2 0.1578 0.9896 0.1277  4 O 1.50-1.59
P3 0.1578 0.5104 0.6277  4 O 1.50-1.59
P4 0.3422 0.4896 0.1277  4 O 1.50-1.59
P5 0.6578 0.9896 0.3723  4 O 1.50-1.59
P6 0.8422 0.0104 0.8723  4 O 1.50-1.59
P7 0.3422 0.0104 0.6277  4 O 1.50-1.59
P8 0.6578 0.5104 0.8723  4 O 1.50-1.59

=====

(6)
Material: Cd2HgAs
Method: DFT, meta-GGA SCAN
State: single point on PBEsol structure

Calculated values
Space-group type: Pm
Formation enthalpy at 0 K in meV/atom: 59

Cell: 4.1079 4.1055 5.2464 Å, 90.00 90.00 91.50°
Last column: nearest neighbours and their distance in Å.
Fractional coordinates of all 4 atoms:
As1 0.2220 0.7794 0.5000  6 Cd 2.85-3.03, 2 Hg 3.15
Cd1 0.0229 0.9756 0.0000  4 Hg 2.87-2.97, 2 As 2.87, 2 Cd 3.12
Cd2 0.7377 0.2639 0.5000  4 As 2.85-3.03, 2 Hg 2.92, 2 Cd 3.12
Hg1 0.5174 0.4812 0.0000  6 Cd 2.87-2.97, 2 As 3.15

=====

(7)
Material: Zr2Sc
Method: DFT, meta-GGA SCAN
State: single point on PBEsol structure

Calculated values
Space-group type: I4/mmm
Formation enthalpy at 0 K in meV/atom: 66

Cell: 3.1000 3.1000 7.3216 Å, 102.22 102.22 90.00°
Last column: nearest neighbours and their distance in Å.
Fractional coordinates of all 3 atoms:
Zr1 0.6687 0.6687 0.3375  8 Zr 3.10-3.16, 4 Sc 3.22
Zr2 0.3313 0.3313 0.6625  8 Zr 3.10-3.16, 4 Sc 3.22
Sc1 0.0000 0.0000 0.0000  4 Sc 3.10, 8 Zr 3.22

=====

(8)
Material: LaRe2Hg
Method: DFT, meta-GGA SCAN
State: single point on PBEsol structure

Calculated values
Space-group type: R-3m
Formation enthalpy at 0 K in meV/atom: 1014

Cell: 2.8675 2.8675 10.5640 Å, 82.20 82.20 60.00°
Last column: nearest neighbours and their distance in Å.
Fractional coordinates of all 4 atoms:
Re1 0.7569 0.7569 0.7293  6 Re 2.87, 3 Hg 2.91
Re2 0.2431 0.2431 0.2707  6 Re 2.87, 3 Hg 2.91
Hg1 0.5000 0.5000 0.5000  6 Hg 2.87, 6 Re 2.91
La1 0.0000 0.0000 0.0000  6 La 2.87